Computed, not measured: crystalline La2In5Ir3 at its relaxed geometry at the PBE-GGA level of DFT.

Calculated values
symmetry: Cmc2_1

Lattice parameters (Å, degrees): 13.613 13.613 7.467 90.00 90.00 160.84
Fractional positions:
1 La 0.027 0.973 0.500
2 La 0.324 0.676 0.603
3 La 0.676 0.324 0.103
4 La 0.973 0.027 0.000
5 In 0.098 0.902 0.888
6 In 0.207 0.793 0.409
7 In 0.209 0.791 0.806
8 In 0.372 0.628 0.050
9 In 0.447 0.553 0.670
10 In 0.553 0.447 0.170
11 In 0.628 0.372 0.550
12 In 0.791 0.209 0.306
13 In 0.793 0.207 0.909
14 In 0.902 0.098 0.388
15 Ir 0.111 0.889 0.268
16 Ir 0.269 0.731 0.109
17 Ir 0.455 0.545 0.288
18 Ir 0.545 0.455 0.788
19 Ir 0.731 0.269 0.609
20 Ir 0.889 0.111 0.768

Computed, not measured: crystalline LaInIr2 at its relaxed geometry at the PBE-GGA level of DFT.

Calculated values
symmetry: Pmm2

Lattice parameters (Å, degrees): 3.191 4.497 5.726 90.00 90.00 90.00
Fractional positions:
1 La 0.000 0.000 0.000
2 In 0.500 0.500 0.348
3 Ir 0.000 0.000 0.499
4 Ir 0.500 0.500 0.827

| no. | total magnetization (μB per atom) | DFT total energy (eV for the cell shown) |
| --- | --- | --- |
| 1 | 0.0000 | -110.047 |
| 2 | 0.0000 | -25.855 |